# Sr3Ac2SmSe6 (PBE, relaxed)
data_Sr3Ac2SmSe6
_cell_length_a 19.284
_cell_length_b 4.377
_cell_length_c 8.860
_cell_angle_alpha 90.00
_cell_angle_beta 104.34
_cell_angle_gamma 90.00
_symmetry_space_group_name_H-M 'C 1 2/m 1'
_symmetry_Int_Tables_number 12
_symmetry_space_group_name_Hall '-C 2y'
loop_
_atom_site_label
_atom_site_type_symbol
_atom_site_fract_x
_atom_site_fract_y
_atom_site_fract_z
Sr1 Sr 0.000 0.000 0.000
Sr2 Sr 0.167 0.500 0.334
Ac1 Ac 0.164 0.500 0.828
Sm1 Sm 0.000 0.000 0.500
Se1 Se 0.002 0.500 0.262
Se2 Se 0.163 0.000 0.576
Se3 Se 0.166 0.000 0.086
# spin magnetization: 0.00 μB/f.u.
# N(E_F): 0.38 states/eV/atom
# raw formation energy: -1922 meV/atom



# Ce2BiRu (PBE, relaxed)
data_Ce2BiRu
_cell_length_a 4.1313
_cell_length_b 4.1313
_cell_length_c 22.2781
_cell_angle_alpha 90.00
_cell_angle_beta 90.00
_cell_angle_gamma 120.00
_symmetry_space_group_name_H-M 'R -3 m'
_symmetry_Int_Tables_number 166
_symmetry_space_group_name_Hall '-R 3 2"'
loop_
_atom_site_label
_atom_site_type_symbol
_atom_site_fract_x
_atom_site_fract_y
_atom_site_fract_z
Ce1 Ce 0.0000 0.0000 0.2347
Bi1 Bi 0.0000 0.0000 0.0000
Ru1 Ru 0.0000 0.0000 0.5000
# DFT formation energy: -0.439 eV/atom
# spin magnetization: 0.00 μB/f.u.
# N(E_F): 1.21 states/eV/atom



# LaHo12Er3 (PBE, relaxed)
data_LaHo12Er3
_cell_length_a 5.000
_cell_length_b 5.000
_cell_length_c 20.021
_cell_angle_alpha 90.00
_cell_angle_beta 90.00
_cell_angle_gamma 90.00
_symmetry_space_group_name_H-M 'P 4/m m m'
_symmetry_Int_Tables_number 123
_symmetry_space_group_name_Hall '-P 4 2'
loop_
_atom_site_label
_atom_site_type_symbol
_atom_site_fract_x
_atom_site_fract_y
_atom_site_fract_z
La1 La 0.000 0.000 0.000
Ho1 Ho 0.000 0.500 0.129
Ho2 Ho 0.000 0.500 0.376
Ho3 Ho 0.500 0.500 0.000
Ho4 Ho 0.500 0.500 0.253
Ho5 Ho 0.500 0.500 0.500
Er1 Er 0.000 0.000 0.252
Er2 Er 0.000 0.000 0.500
# DFT formation energy: 0.025 eV/atom
# spin magnetization: 0.00 μB/f.u.
# N(E_F): 1.37 states/eV/atom



# Ac4GeOs (PBE, relaxed)
data_Ac4GeOs
_cell_length_a 9.672
_cell_length_b 14.453
_cell_length_c 6.795
_cell_angle_alpha 90.00
_cell_angle_beta 120.33
_cell_angle_gamma 90.00
_symmetry_space_group_name_H-M 'C 1 2/c 1'
_symmetry_Int_Tables_number 15
_symmetry_space_group_name_Hall '-C 2yc'
loop_
_atom_site_label
_atom_site_type_symbol
_atom_site_fract_x
_atom_site_fract_y
_atom_site_fract_z
Ac1 Ac 0.120 0.176 0.084
Ac2 Ac 0.212 0.436 0.302
Ge1 Ge 0.000 0.372 0.750
Os1 Os 0.000 0.001 0.750
# DFT formation energy: -0.257 eV/atom
# spin magnetization: 0.00 μB/f.u.
# N(E_F): 1.00 states/eV/atom



# BeHg4Br (PBE, relaxed)
data_BeHg4Br
_cell_length_a 8.692
_cell_length_b 8.692
_cell_length_c 8.692
_cell_angle_alpha 90.00
_cell_angle_beta 90.00
_cell_angle_gamma 90.00
_symmetry_space_group_name_H-M 'F -4 3 m'
_symmetry_Int_Tables_number 216
_symmetry_space_group_name_Hall 'F -4 2 3'
loop_
_atom_site_label
_atom_site_type_symbol
_atom_site_fract_x
_atom_site_fract_y
_atom_site_fract_z
Be1 Be 0.000 0.000 0.000
Hg1 Hg 0.125 0.125 0.375
Br1 Br 0.250 0.250 0.750
# spin magnetization: 0.00 μB/f.u.
# N(E_F): 0.72 states/eV/atom
# raw formation energy: 495 meV/atom



# MnFeB2 (PBE, relaxed)
data_MnFeB2
_cell_length_a 5.031
_cell_length_b 5.031
_cell_length_c 5.031
_cell_angle_alpha 90.00
_cell_angle_beta 90.00
_cell_angle_gamma 90.00
_symmetry_space_group_name_H-M 'F m -3 m'
_symmetry_Int_Tables_number 225
_symmetry_space_group_name_Hall '-F 4 2 3'
loop_
_atom_site_label
_atom_site_type_symbol
_atom_site_fract_x
_atom_site_fract_y
_atom_site_fract_z
Mn1 Mn 0.000 0.000 0.000
Fe1 Fe 0.000 0.000 0.500
B1 B 0.250 0.250 0.250
# DFT formation energy: -0.054 eV/atom
# spin magnetization: 2.12 μB/f.u.
# N(E_F): 0.64 states/eV/atom



| no. | calculated total energy (eV/atom) |
| --- | --- |
| 1 | -5.162 |
| 2 | -6.696 |
| 3 | -4.572 |
| 4 | -5.637 |
| 5 | -0.606 |
| 6 | -7.801 |